DFT (PBE) results for an optimized crystal structure of Li2Pr3GePd9.

Cell lengths 6.0037, 6.0037, 9.2594 Å; angles 90.00, 90.00, 120.00 degrees
Fractional coordinates of all 15 atoms:
1 Li 0.3333 0.6667 0.1551
2 Li 0.6667 0.3333 0.8449
3 Pr 0.0000 0.0000 0.0000
4 Pr 0.3333 0.6667 0.6882
5 Pr 0.6667 0.3333 0.3118
6 Ge 0.0000 0.0000 0.5000
7 Pd 0.0000 0.5000 0.0000
8 Pd 0.1647 0.3295 0.3146
9 Pd 0.1647 0.8353 0.3146
10 Pd 0.3295 0.1647 0.6854
11 Pd 0.5000 0.0000 0.0000
12 Pd 0.5000 0.5000 0.0000
13 Pd 0.6705 0.8353 0.3146
14 Pd 0.8353 0.1647 0.6854
15 Pd 0.8353 0.6705 0.6854

Output
Total magnetic moment in μB per formula unit: 0.0
N(E_F) in states/eV/f.u.: 3.598
Raw total energy in eV/cell: -77.0
E_form in eV per atom: -0.50


DFT (PBE) results for an optimized crystal structure of LaCrIr2.

Cell lengths 4.6933, 4.6933, 4.6933 Å; angles 60.00, 60.00, 60.00 degrees
Fractional coordinates of all 4 atoms:
1 La 0.0000 0.0000 0.0000
2 Cr 0.7500 0.7500 0.7500
3 Ir 0.2500 0.2500 0.2500
4 Ir 0.5000 0.5000 0.5000

Output
Total magnetic moment in μB per formula unit: 3.3
N(E_F) in states/eV/f.u.: 7.149
Raw total energy in eV/cell: -31.3
E_form in eV per atom: 0.25
Offset from the most stable computed form in meV per atom: 478


DFT (PBE) results for an optimized crystal structure of NaTlSi3.

Cell lengths 5.0704, 5.0704, 5.0704 Å; angles 90.00, 90.00, 90.00 degrees
Fractional coordinates of all 5 atoms:
1 Na 0.0000 0.0000 0.0000
2 Tl 0.5000 0.5000 0.5000
3 Si 0.0000 0.0000 0.5000
4 Si 0.0000 0.5000 0.0000
5 Si 0.5000 0.0000 0.0000

Output
Total magnetic moment in μB per formula unit: 0.0
N(E_F) in states/eV/f.u.: 3.727
Raw total energy in eV/cell: -13.4
Uncorrected formation energy in eV/atom: 1.3084
Offset from the most stable computed form in meV per atom: 118


DFT (PBE) results for an optimized crystal structure of SrSn2Te3.

Cell lengths 8.0186, 8.0186, 8.0186 Å; angles 146.56, 132.13, 59.65 degrees
Fractional coordinates of all 6 atoms:
1 Sr 0.0000 0.0000 0.0000
2 Sn 0.3349 0.3349 0.0000
3 Sn 0.6651 0.6651 0.0000
4 Te 0.1736 0.6736 0.5000
5 Te 0.5000 0.0000 0.5000
6 Te 0.8264 0.3264 0.5000

Output
Total magnetic moment in μB per formula unit: 0.0
Raw total energy in eV/cell: -23.6
Uncorrected formation energy in eV/atom: -0.7441
Offset from the most stable computed form in meV per atom: 0


DFT (PBE) results for an optimized crystal structure of Li2Zn5Au5.

Cell lengths 6.4638, 6.4638, 9.3208 Å; angles 115.97, 115.97, 33.10 degrees
Fractional coordinates of all 12 atoms:
1 Li 0.0724 0.0724 0.2482
2 Li 0.9276 0.9276 0.7518
3 Zn 0.0000 0.0000 0.5000
4 Zn 0.1644 0.1644 0.0083
5 Zn 0.2606 0.2606 0.7427
6 Zn 0.7394 0.7394 0.2573
7 Zn 0.8356 0.8356 0.9917
8 Au 0.3443 0.3443 0.5151
9 Au 0.3985 0.3985 0.2369
10 Au 0.5000 0.5000 0.0000
11 Au 0.6015 0.6015 0.7631
12 Au 0.6557 0.6557 0.4849

Output
Total magnetic moment in μB per formula unit: 0.0
N(E_F) in states/eV/f.u.: 3.121
Raw total energy in eV/cell: -30.5
E_form in eV per atom: -0.32


DFT (PBE) results for an optimized crystal structure of MnCu2As.

Cell lengths 8.2931, 8.2931, 8.2931 Å; angles 19.48, 19.48, 19.48 degrees
Fractional coordinates of all 4 atoms:
1 Mn 0.0000 0.0000 0.0000
2 Cu 0.4959 0.4959 0.4959
3 Cu 0.7487 0.7487 0.7487
4 As 0.2533 0.2533 0.2533

Output
Total magnetic moment in μB per formula unit: 2.8
N(E_F) in states/eV/f.u.: 1.520
Raw total energy in eV/cell: -21.1
E_form in eV per atom: 0.23


DFT (PBE) results for an optimized crystal structure of CsTiS4.

Cell lengths 10.2814, 10.2814, 5.3620 Å; angles 103.93, 103.93, 129.32 degrees
Fractional coordinates of all 12 atoms:
1 Cs 0.1526 0.8474 0.7500
2 Cs 0.8474 0.1526 0.2500
3 Ti 0.4434 0.5566 0.2500
4 Ti 0.5566 0.4434 0.7500
5 S 0.2660 0.2666 0.7683
6 S 0.2666 0.2660 0.2683
7 S 0.2800 0.6230 0.0215
8 S 0.3770 0.7200 0.4785
9 S 0.6230 0.2800 0.5215
10 S 0.7200 0.3770 0.9785
11 S 0.7334 0.7340 0.7317
12 S 0.7340 0.7334 0.2317

Output
Total magnetic moment in μB per formula unit: 0.0
N(E_F) in states/eV/f.u.: 1.730
Raw total energy in eV/cell: -62.3
Uncorrected formation energy in eV/atom: -0.9802


DFT (PBE) results for an optimized crystal structure of Li2MgH.

Cell lengths 2.7975, 2.7975, 7.4947 Å; angles 90.00, 90.00, 90.00 degrees
Fractional coordinates of all 4 atoms:
1 Li 0.0000 0.0000 0.1696
2 Li 0.0000 0.0000 0.8304
3 Mg 0.5000 0.5000 0.5000
4 H 0.5000 0.5000 0.0000

Output
Total magnetic moment in μB per formula unit: 0.0
N(E_F) in states/eV/f.u.: 1.642
Raw total energy in eV/cell: -8.9
Offset from the most stable computed form in meV per atom: 153